## RbPO2F (PBE-GGA)

Data for crystalline RbPO2F at its relaxed geometry.

As for the space group: P4/mmm (123). As for the density of states at the Fermi level: 0.90 states/eV/atom. The spin magnetization comes out at 0.200 μB per atom. The calculation puts the formation energy from raw total energies at 4.56 kcal/mol of atoms. The calculation puts the total energy at -3.435 eV/atom.

a = 5.0501 Å, b = 5.0501 Å, c = 3.6966 Å
α = 90.00°, β = 90.00°, γ = 90.00°
Last column: magnetic moment on the atom in μB.
Element x y z (fractional)
P (0.0000, 0.0000, 0.5000)  -0.55
F (0.0000, 0.0000, 0.0000)  -0.03
O (0.0000, 0.5000, 0.0000)  0.91
O (0.5000, 0.0000, 0.0000)  0.91
Rb (0.5000, 0.5000, 0.5000)  -0.02